Ni21B6Sb2 | SCAN | single point on PBEsol structure

Unit cell a=7.395 b=7.395 c=7.395 alpha=60.00 beta=60.00 gamma=60.00
Sites, in units of the cell vectors:
Ni 0.000 0.000 0.000
Ni 0.000 0.000 0.336
Ni 0.000 0.000 0.664
Ni 0.000 0.336 0.000
Ni 0.000 0.336 0.664
Ni 0.000 0.664 0.000
Ni 0.000 0.664 0.336
Ni 0.153 0.616 0.616
Ni 0.336 0.000 0.000
Ni 0.336 0.000 0.664
Ni 0.336 0.664 0.000
Ni 0.384 0.384 0.384
Ni 0.384 0.384 0.847
Ni 0.384 0.847 0.384
Ni 0.616 0.153 0.616
Ni 0.616 0.616 0.153
Ni 0.616 0.616 0.616
Ni 0.664 0.000 0.000
Ni 0.664 0.000 0.336
Ni 0.664 0.336 0.000
Ni 0.847 0.384 0.384
B 0.272 0.272 0.728
B 0.272 0.728 0.272
B 0.272 0.728 0.728
B 0.728 0.272 0.272
B 0.728 0.272 0.728
B 0.728 0.728 0.272
Sb 0.250 0.250 0.250
Sb 0.750 0.750 0.750

- Total magnetization: 0.00 Bohr magnetons per cell
- Crystal system: cubic
- Total DFT energy (no corrections): -465.7 eV for the cell shown
- Uncorrected formation energy: -0.242 eV/atom
- D(E_F): 18.930 states/eV/cell